[1]
RbZr3S6 | GGA-PBE | relaxed

Results
* formation energy from raw total energies: -1.502 eV per atom
* SG: P2_1/m
* DOS(E_F): 6.79 states/eV/cell

Unit cell a=11.6447 b=3.6937 c=11.6910 alpha=90.00 beta=107.50 gamma=90.00
Fractional coordinates of all 20 atoms:
Rb 0.0994 0.2500 0.3718
Rb 0.9006 0.7500 0.6282
Zr 0.1527 0.2500 0.0346
Zr 0.2998 0.7500 0.7326
Zr 0.4651 0.7500 0.3534
Zr 0.5349 0.2500 0.6466
Zr 0.7002 0.2500 0.2674
Zr 0.8473 0.7500 0.9654
S 0.0526 0.7500 0.1305
S 0.1473 0.2500 0.6539
S 0.2409 0.7500 0.9380
S 0.3183 0.2500 0.2474
S 0.3730 0.7500 0.5383
S 0.4539 0.2500 0.8261
S 0.5461 0.7500 0.1739
S 0.6270 0.2500 0.4617
S 0.6817 0.7500 0.7526
S 0.7591 0.2500 0.0620
S 0.8527 0.7500 0.3461
S 0.9474 0.2500 0.8695

[2]
RbZr4S8 | GGA-PBE | relaxed

Results
* energy above the most stable polymorph in this dataset: 194 meV/atom
* formation energy from raw total energies: -1.395 eV per atom
* SG: F-43m
* DOS(E_F): 3.22 states/eV/cell

Unit cell a=7.8694 b=7.8694 c=7.8694 alpha=60.00 beta=60.00 gamma=60.00
Fractional coordinates of all 13 atoms:
Rb 0.0000 0.0000 0.0000
Zr 0.3785 0.3785 0.3785
Zr 0.3785 0.3785 0.8646
Zr 0.3785 0.8646 0.3785
Zr 0.8646 0.3785 0.3785
S 0.1466 0.1466 0.1466
S 0.1466 0.1466 0.5602
S 0.1466 0.5602 0.1466
S 0.1595 0.6135 0.6135
S 0.5602 0.1466 0.1466
S 0.6135 0.1595 0.6135
S 0.6135 0.6135 0.1595
S 0.6135 0.6135 0.6135

[3]
RbZrS2 | GGA-PBE | relaxed

Results
* formation energy from raw total energies: -1.440 eV per atom
* SG: R3m
* DOS(E_F): 2.15 states/eV/cell

Unit cell a=8.1692 b=8.1692 c=8.1692 alpha=26.66 beta=26.66 gamma=26.66
Fractional coordinates of all 4 atoms:
Rb 0.0000 0.0000 0.0000
Zr 0.1699 0.1699 0.1699
S 0.5668 0.5668 0.5668
S 0.7724 0.7724 0.7724

[4]
Rb2ZrS4 | GGA-PBE | relaxed

Results
* energy above the most stable polymorph in this dataset: 335 meV/atom
* formation energy from raw total energies: -0.945 eV per atom
* SG: Cmmm
* DOS(E_F): 5.35 states/eV/cell

Unit cell a=8.3658 b=8.3658 c=3.8751 alpha=90.00 beta=90.00 gamma=101.33
Fractional coordinates of all 7 atoms:
Rb 0.0000 0.5000 0.0000
Rb 0.5000 0.0000 0.0000
Zr 0.0000 0.0000 0.5000
S 0.1643 0.1643 0.0000
S 0.1942 0.8058 0.5000
S 0.8058 0.1942 0.5000
S 0.8357 0.8357 0.0000

[5]
Rb2ZrS4 | GGA-PBE | relaxed

Results
* energy above the most stable polymorph in this dataset: 0 meV/atom
* formation energy from raw total energies: -1.280 eV per atom
* SG: Pbca
* DOS(E_F): 0.00 states/eV/cell

Unit cell a=6.8270 b=24.6774 c=9.8701 alpha=90.00 beta=90.00 gamma=90.00
Fractional coordinates of all 56 atoms:
Rb 0.0706 0.2023 0.0680
Rb 0.0706 0.2977 0.5680
Rb 0.1900 0.5353 0.3601
Rb 0.1900 0.9647 0.8601
Rb 0.3100 0.0353 0.3601
Rb 0.3100 0.4647 0.8601
Rb 0.4294 0.7023 0.0680
Rb 0.4294 0.7977 0.5680
Rb 0.5706 0.2023 0.4320
Rb 0.5706 0.2977 0.9320
Rb 0.6901 0.5353 0.1399
Rb 0.6901 0.9647 0.6399
Rb 0.8099 0.0353 0.1399
Rb 0.8099 0.4647 0.6399
Rb 0.9294 0.7023 0.4320
Rb 0.9294 0.7977 0.9320
Zr 0.0525 0.1288 0.6726
Zr 0.0525 0.3712 0.1726
Zr 0.4475 0.6288 0.6726
Zr 0.4475 0.8712 0.1726
Zr 0.5525 0.1288 0.8274
Zr 0.5525 0.3712 0.3274
Zr 0.9475 0.6288 0.8274
Zr 0.9475 0.8712 0.3274
S 0.0723 0.1586 0.4202
S 0.0723 0.3414 0.9202
S 0.1158 0.5922 0.0440
S 0.1158 0.9078 0.5440
S 0.1461 0.5652 0.6783
S 0.1461 0.9348 0.1783
S 0.2016 0.6992 0.7572
S 0.2016 0.8008 0.2572
S 0.2984 0.1992 0.7572
S 0.2984 0.3008 0.2572
S 0.3539 0.0652 0.6783
S 0.3539 0.4348 0.1783
S 0.3842 0.0922 0.0440
S 0.3842 0.4078 0.5440
S 0.4277 0.6586 0.4202
S 0.4277 0.8414 0.9202
S 0.5723 0.1586 0.0798
S 0.5723 0.3414 0.5798
S 0.6158 0.5922 0.4560
S 0.6158 0.9078 0.9560
S 0.6461 0.5652 0.8217
S 0.6461 0.9348 0.3217
S 0.7016 0.6992 0.7428
S 0.7016 0.8008 0.2428
S 0.7984 0.1992 0.7428
S 0.7984 0.3008 0.2428
S 0.8539 0.0652 0.8217
S 0.8539 0.4348 0.3217
S 0.8842 0.0922 0.4560
S 0.8842 0.4078 0.9560
S 0.9277 0.6586 0.0798
S 0.9277 0.8414 0.5798

[6]
RbZrS3 | GGA-PBE | relaxed

Results
* energy above the most stable polymorph in this dataset: 0 meV/atom
* formation energy from raw total energies: -1.183 eV per atom
* SG: Pm-3m
* DOS(E_F): 2.84 states/eV/cell

Unit cell a=5.0776 b=5.0776 c=5.0776 alpha=90.00 beta=90.00 gamma=90.00
Fractional coordinates of all 5 atoms:
Rb 0.0000 0.0000 0.0000
Zr 0.5000 0.5000 0.5000
S 0.0000 0.5000 0.5000
S 0.5000 0.0000 0.5000
S 0.5000 0.5000 0.0000

[7]
Rb2Zr4S7 | GGA-PBE | relaxed

Results
* formation energy from raw total energies: -1.327 eV per atom
* SG: P-31m
* DOS(E_F): 9.22 states/eV/cell

Unit cell a=6.5682 b=6.5682 c=8.6981 alpha=90.00 beta=90.00 gamma=120.00
Fractional coordinates of all 13 atoms:
Rb 0.3333 0.6667 0.0000
Rb 0.6667 0.3333 0.0000
Zr 0.0000 0.0000 0.2884
Zr 0.0000 0.0000 0.7116
Zr 0.3333 0.6667 0.5000
Zr 0.6667 0.3333 0.5000
S 0.0000 0.0000 0.0000
S 0.0000 0.3751 0.3127
S 0.0000 0.6249 0.6873
S 0.3751 0.0000 0.3127
S 0.3751 0.3751 0.6873
S 0.6249 0.0000 0.6873
S 0.6249 0.6249 0.3127

[8]
Rb3Sb | GGA-PBE | relaxed

Results
* energy above the most stable polymorph in this dataset: 33 meV/atom
* formation energy from raw total energies: -0.326 eV per atom
* SG: I4/mmm

Unit cell a=6.3255 b=6.3255 c=6.3255 alpha=120.10 beta=120.10 gamma=89.82
Fractional coordinates of all 4 atoms:
Rb 0.0000 0.0000 0.0000
Rb 0.2500 0.7500 0.5000
Rb 0.7500 0.2500 0.5000
Sb 0.5000 0.5000 0.0000

[9]
RbSb | GGA-PBE | relaxed

Results
* energy above the most stable polymorph in this dataset: 918 meV/atom
* formation energy from raw total energies: 0.489 eV per atom
* SG: F-43m
* DOS(E_F): 1.62 states/eV/cell

Unit cell a=6.0021 b=6.0021 c=6.0021 alpha=60.00 beta=60.00 gamma=60.00
Fractional coordinates of all 2 atoms:
Rb 0.0000 0.0000 0.0000
Sb 0.2500 0.2500 0.2500

[10]
RbSb | GGA-PBE | relaxed

Results
* energy above the most stable polymorph in this dataset: 133 meV/atom
* formation energy from raw total energies: -0.296 eV per atom
* SG: Fddd
* DOS(E_F): 2.59 states/eV/cell

Unit cell a=10.5443 b=9.5268 c=6.5083 alpha=79.81 beta=62.78 gamma=37.41
Fractional coordinates of all 8 atoms:
Rb 0.0377 0.7123 0.0377
Rb 0.2877 0.9623 0.2877
Rb 0.7123 0.0377 0.7123
Rb 0.9623 0.2877 0.9623
Sb 0.2969 0.2969 0.4531
Sb 0.4531 0.4531 0.2969
Sb 0.5469 0.5469 0.7031
Sb 0.7031 0.7031 0.5469

[11]
Rb3Sb | GGA-PBE | relaxed

Results
* energy above the most stable polymorph in this dataset: 167 meV/atom
* formation energy from raw total energies: -0.192 eV per atom
* SG: Pmm2
* DOS(E_F): 2.66 states/eV/cell

Unit cell a=5.7335 b=5.7361 c=5.7368 alpha=90.00 beta=90.00 gamma=90.00
Fractional coordinates of all 4 atoms:
Rb 0.0000 0.0000 0.0000
Rb 0.0000 0.5000 0.4992
Rb 0.5000 0.5000 0.9980
Sb 0.5000 0.0000 0.4976

[12]
RbSb | GGA-PBE | relaxed

Results
* energy above the most stable polymorph in this dataset: 23 meV/atom
* formation energy from raw total energies: -0.406 eV per atom
* SG: P2_1/m
* DOS(E_F): 1.03 states/eV/cell

Unit cell a=5.8335 b=4.6575 c=7.1367 alpha=90.00 beta=114.01 gamma=90.00
Fractional coordinates of all 4 atoms:
Rb 0.1343 0.2500 0.2708
Rb 0.8657 0.7500 0.7292
Sb 0.4334 0.2500 0.8650
Sb 0.5666 0.7500 0.1350

[13]
RbSb | GGA-PBE | relaxed

Results
* energy above the most stable polymorph in this dataset: 1 meV/atom
* formation energy from raw total energies: -0.428 eV per atom
* SG: P2_1/c

Unit cell a=7.5237 b=7.3015 c=14.0444 alpha=90.00 beta=114.26 gamma=90.00
Fractional coordinates of all 16 atoms:
Rb 0.2148 0.0990 0.3316
Rb 0.2148 0.4010 0.8316
Rb 0.2451 0.6686 0.5326
Rb 0.2451 0.8314 0.0326
Rb 0.7549 0.1686 0.9674
Rb 0.7549 0.3314 0.4674
Rb 0.7852 0.5990 0.1684
Rb 0.7852 0.9010 0.6684
Sb 0.3290 0.5964 0.2841
Sb 0.3290 0.9036 0.7841
Sb 0.3326 0.1689 0.6295
Sb 0.3326 0.3311 0.1295
Sb 0.6674 0.6689 0.8705
Sb 0.6674 0.8311 0.3705
Sb 0.6710 0.0964 0.2159
Sb 0.6710 0.4036 0.7159

[14]
RbSb | GGA-PBE | relaxed

Results
* energy above the most stable polymorph in this dataset: 225 meV/atom
* formation energy from raw total energies: -0.204 eV per atom
* SG: P4/mmm
* DOS(E_F): 1.29 states/eV/cell

Unit cell a=3.4815 b=3.4815 c=5.7564 alpha=90.00 beta=90.00 gamma=90.00
Fractional coordinates of all 2 atoms:
Rb 0.0000 0.0000 0.0000
Sb 0.5000 0.5000 0.5000

[15]
RbSb | GGA-PBE | relaxed

Results
* energy above the most stable polymorph in this dataset: 202 meV/atom
* formation energy from raw total energies: -0.227 eV per atom
* SG: I4/m
* DOS(E_F): 6.45 states/eV/cell

Unit cell a=11.1415 b=11.1415 c=11.1415 alpha=92.19 beta=92.19 gamma=157.43
Fractional coordinates of all 8 atoms:
Rb 0.0438 0.2514 0.2952
Rb 0.2514 0.9562 0.2075
Rb 0.7486 0.0438 0.7925
Rb 0.9562 0.7486 0.7048
Sb 0.1907 0.7297 0.9204
Sb 0.2703 0.1907 0.4610
Sb 0.7297 0.8093 0.5390
Sb 0.8093 0.2703 0.0796

[16]
RbSb2 | GGA-PBE | relaxed

Results
* formation energy from raw total energies: -0.276 eV per atom
* SG: I4/mmm
* DOS(E_F): 0.98 states/eV/cell

Unit cell a=7.1668 b=7.1668 c=7.1668 alpha=147.12 beta=147.12 gamma=47.18
Fractional coordinates of all 3 atoms:
Rb 0.0000 0.0000 0.0000
Sb 0.2923 0.2923 0.0000
Sb 0.7077 0.7077 0.0000

[17]
RbSb | GGA-PBE | relaxed

Results
* energy above the most stable polymorph in this dataset: 153 meV/atom
* formation energy from raw total energies: -0.276 eV per atom
* SG: P6_3/mmc
* DOS(E_F): 7.15 states/eV/cell

Unit cell a=13.2048 b=13.2048 c=4.5516 alpha=90.00 beta=90.00 gamma=120.00
Fractional coordinates of all 12 atoms:
Rb 0.2029 0.4057 0.2500
Rb 0.2029 0.7971 0.2500
Rb 0.4057 0.2029 0.7500
Rb 0.5943 0.7971 0.2500
Rb 0.7971 0.2029 0.7500
Rb 0.7971 0.5943 0.7500
Sb 0.0795 0.5397 0.7500
Sb 0.4603 0.5397 0.7500
Sb 0.4603 0.9205 0.7500
Sb 0.5397 0.0795 0.2500
Sb 0.5397 0.4603 0.2500
Sb 0.9205 0.4603 0.2500

[18]
Rb3Sb | GGA-PBE | relaxed

Results
* energy above the most stable polymorph in this dataset: 0 meV/atom
* formation energy from raw total energies: -0.359 eV per atom
* SG: P6_3/mmc
* DOS(E_F): 9.27 states/eV/cell

Unit cell a=6.4076 b=6.4076 c=11.3536 alpha=90.00 beta=90.00 gamma=120.00
Fractional coordinates of all 8 atoms:
Rb 0.0000 0.0000 0.2500
Rb 0.0000 0.0000 0.7500
Rb 0.3333 0.6667 0.0807
Rb 0.3333 0.6667 0.4193
Rb 0.6667 0.3333 0.5807
Rb 0.6667 0.3333 0.9193
Sb 0.3333 0.6667 0.7500
Sb 0.6667 0.3333 0.2500

[19]
Rb2Sb | GGA-PBE | relaxed

Results
* energy above the most stable polymorph in this dataset: 0 meV/atom
* formation energy from raw total energies: -0.233 eV per atom
* SG: C2/m
* DOS(E_F): 2.06 states/eV/cell

Unit cell a=7.7997 b=7.7997 c=10.7751 alpha=112.99 beta=112.99 gamma=35.01
Fractional coordinates of all 6 atoms:
Rb 0.0062 0.0062 0.3168
Rb 0.3176 0.3176 0.8383
Rb 0.6824 0.6824 0.1617
Rb 0.9938 0.9938 0.6832
Sb 0.2943 0.2943 0.4609
Sb 0.7057 0.7057 0.5391

[20]
RbSb2 | GGA-PBE | relaxed

Results
* formation energy from raw total energies: -0.300 eV per atom
* SG: C2/m

Unit cell a=7.3967 b=7.3967 c=8.7380 alpha=103.38 beta=103.38 gamma=33.29
Fractional coordinates of all 6 atoms:
Rb 0.1650 0.1650 0.1964
Rb 0.8350 0.8350 0.8036
Sb 0.0950 0.0950 0.6069
Sb 0.4360 0.4360 0.1880
Sb 0.5640 0.5640 0.8120
Sb 0.9050 0.9050 0.3931

[21]
RbSb | GGA-PBE | relaxed

Results
* energy above the most stable polymorph in this dataset: 270 meV/atom
* formation energy from raw total energies: -0.159 eV per atom
* SG: P4_2/mnm
* DOS(E_F): 6.46 states/eV/cell

Unit cell a=7.6710 b=7.6710 c=7.3936 alpha=90.00 beta=90.00 gamma=90.00
Fractional coordinates of all 8 atoms:
Rb 0.1839 0.1839 0.0000
Rb 0.3161 0.6839 0.5000
Rb 0.6839 0.3161 0.5000
Rb 0.8161 0.8161 0.0000
Sb 0.1257 0.1257 0.5000
Sb 0.3743 0.6257 0.0000
Sb 0.6257 0.3743 0.0000
Sb 0.8743 0.8743 0.5000